No. 1
This record from the Alexandria database describes Y2Hf2Sn after structural relaxation. The functional is PBE-GGA.

Summary:
- crystal system = tetragonal

Lattice parameters (Å, degrees): 7.609 7.609 4.640 90.00 90.00 90.00
Positions (direct):
Y 0.160 0.340 0.000
Y 0.340 0.840 0.000
Y 0.660 0.160 0.000
Y 0.840 0.660 0.000
Hf 0.136 0.636 0.500
Hf 0.364 0.136 0.500
Hf 0.636 0.864 0.500
Hf 0.864 0.364 0.500
Sn 0.000 0.000 0.500
Sn 0.500 0.500 0.500

=====

No. 2
This record from the Alexandria database describes YHfSn2 after structural relaxation. The functional is PBE-GGA.

Summary:
- excess energy over the best structure of this formula in the dataset (eV/atom) = 0.046
- crystal system = trigonal

Lattice parameters (Å, degrees): 7.797 7.797 7.797 30.48 30.48 30.48
Positions (direct):
Y 0.000 0.000 0.000
Hf 0.500 0.500 0.500
Sn 0.244 0.244 0.244
Sn 0.756 0.756 0.756

=====

No. 3
This record from the Alexandria database describes Y2HfSn2 after structural relaxation. The functional is PBE-GGA.

Summary:
- excess energy over the best structure of this formula in the dataset (eV/atom) = 0.000
- crystal system = tetragonal

Lattice parameters (Å, degrees): 7.770 7.770 4.377 90.00 90.00 90.00
Positions (direct):
Y 0.169 0.331 0.000
Y 0.331 0.831 0.000
Y 0.669 0.169 0.000
Y 0.831 0.669 0.000
Hf 0.000 0.000 0.500
Hf 0.500 0.500 0.500
Sn 0.138 0.638 0.500
Sn 0.362 0.138 0.500
Sn 0.638 0.862 0.500
Sn 0.862 0.362 0.500

=====

No. 4
This record from the Alexandria database describes Y3HfSn after structural relaxation. The functional is PBE-GGA.

Summary:
- excess energy over the best structure of this formula in the dataset (eV/atom) = 0.000
- crystal system = cubic

Lattice parameters (Å, degrees): 5.494 5.494 5.494 90.00 90.00 90.00
Positions (direct):
Y 0.000 0.000 0.500
Y 0.000 0.500 0.000
Y 0.500 0.000 0.000
Hf 0.000 0.000 0.000
Sn 0.500 0.500 0.500

=====

No. 5
This record from the Alexandria database describes Y2HfSn after structural relaxation. The functional is PBE-GGA.

Summary:
- excess energy over the best structure of this formula in the dataset (eV/atom) = 0.000
- crystal system = cubic

Lattice parameters (Å, degrees): 5.310 5.310 5.310 60.00 60.00 60.00
Positions (direct):
Y 0.250 0.250 0.250
Y 0.750 0.750 0.750
Hf 0.000 0.000 0.000
Sn 0.500 0.500 0.500

=====

No. 6
This record from the Alexandria database describes YHfSn2 after structural relaxation. The functional is PBE-GGA.

Summary:
- excess energy over the best structure of this formula in the dataset (eV/atom) = 0.150
- crystal system = cubic

Lattice parameters (Å, degrees): 5.185 5.185 5.185 60.00 60.00 60.00
Positions (direct):
Y 0.000 0.000 0.000
Hf 0.500 0.500 0.500
Sn 0.250 0.250 0.250
Sn 0.750 0.750 0.750

=====

No. 7
This record from the Alexandria database describes YHfSn3 after structural relaxation. The functional is PBE-GGA.

Summary:
- excess energy over the best structure of this formula in the dataset (eV/atom) = 0.000
- crystal system = cubic

Lattice parameters (Å, degrees): 5.439 5.439 5.439 90.00 90.00 90.00
Positions (direct):
Y 0.000 0.000 0.000
Hf 0.500 0.500 0.500
Sn 0.000 0.500 0.500
Sn 0.500 0.000 0.500
Sn 0.500 0.500 0.000

=====

No. 8
This record from the Alexandria database describes YHf3Sn after structural relaxation. The functional is PBE-GGA.

Summary:
- excess energy over the best structure of this formula in the dataset (eV/atom) = 0.672
- crystal system = cubic

Lattice parameters (Å, degrees): 5.177 5.177 5.177 90.00 90.00 90.00
Positions (direct):
Y 0.000 0.000 0.000
Hf 0.000 0.000 0.500
Hf 0.000 0.500 0.000
Hf 0.500 0.000 0.000
Sn 0.500 0.500 0.500

=====

Number 1: size of the total moment 0.00 μB/cell, VASP energy -7.431 eV per atom. Number 2: size of the total moment 0.00 μB/cell, VASP energy -6.471 eV per atom. Number 3: size of the total moment 0.00 μB/cell, VASP energy -6.728 eV per atom. Number 4: size of the total moment 0.00 μB/cell, VASP energy -6.094 eV per atom. Number 5: size of the total moment 2.72 μB/cell, VASP energy -6.825 eV per atom. Number 6: size of the total moment 1.22 μB/cell, VASP energy -6.367 eV per atom. Number 7: size of the total moment 0.00 μB/cell, VASP energy -5.511 eV per atom. Number 8: size of the total moment 0.00 μB/cell, VASP energy -6.587 eV per atom.